(1)
An optimized crystal structure of MgPtAu. Source: the Alexandria database, functional PBE.

Properties
DFT formation energy = -1.6 eV/f.u.
SG = Imm2 (44)
E_tot = -4.162 eV/atom

Cell lengths 5.059, 5.059, 5.059 Å; angles 146.10, 135.07, 57.45 degrees
Atoms (fractional coordinates):
Mg: 0.000 0.000 0.000
Pt: 0.653 0.653 0.000
Au: 0.330 0.330 0.000

---

(2)
An optimized crystal structure of SrBeSb. Source: the Alexandria database, functional PBE.

Properties
SG = F-43m (216)
formation energy from raw total energies = -0.08 eV per atom
E_tot = -3.262 eV/atom

Cell lengths 4.731, 4.731, 4.731 Å; angles 60.00, 60.00, 60.00 degrees
Atoms (fractional coordinates):
Sr: 0.000 0.000 0.000
Be: 0.750 0.750 0.750
Sb: 0.500 0.500 0.500

---

(3)
An optimized crystal structure of InFe2RhC. Source: the Alexandria database, functional PBE.

Properties
DFT formation energy = 0.1 eV/f.u.
SG = P4/mmm (123)
E_tot = -7.224 eV/atom

Cell lengths 3.882, 3.882, 4.171 Å; angles 90.00, 90.00, 90.00 degrees
Atoms (fractional coordinates):
In: 0.000 0.000 0.000
Fe: 0.000 0.500 0.500
Fe: 0.500 0.000 0.500
Rh: 0.500 0.500 0.000
C: 0.500 0.500 0.500

---

(4)
An optimized crystal structure of PdSeBr2N. Source: the Alexandria database, functional PBE.

Properties
SG = P4/mmm (123)
formation energy from raw total energies = 1.14 eV per atom
E_tot = -2.928 eV/atom

Cell lengths 5.266, 5.266, 4.842 Å; angles 90.00, 90.00, 90.00 degrees
Atoms (fractional coordinates):
Pd: 0.000 0.000 0.000
Se: 0.000 0.000 0.500
Br: 0.000 0.500 0.000
Br: 0.500 0.000 0.000
N: 0.500 0.500 0.500

---

(5)
An optimized crystal structure of BeAlCrMo. Source: the Alexandria database, functional PBE.

Properties
DFT formation energy = -0.2 eV/f.u.
SG = F-43m (216)
E_tot = -7.028 eV/atom

Cell lengths 4.151, 4.151, 4.151 Å; angles 60.00, 60.00, 60.00 degrees
Atoms (fractional coordinates):
Be: 0.000 0.000 0.000
Al: 0.250 0.250 0.250
Cr: 0.500 0.500 0.500
Mo: 0.750 0.750 0.750

---

(6)
An optimized crystal structure of BaLiAl3P2H2O14. Source: the Alexandria database, functional PBE.

Properties
SG = Cm (8)
E_tot = -6.607 eV/atom

Cell lengths 7.235, 7.235, 7.965 Å; angles 119.07, 119.07, 53.00 degrees
Atoms (fractional coordinates):
Ba: 0.000 0.000 0.000
Li: 0.680 0.680 0.780
Al: 0.463 0.971 0.502
Al: 0.964 0.964 0.497
Al: 0.971 0.463 0.502
P: 0.241 0.241 0.860
P: 0.689 0.689 0.151
H: 0.295 0.295 0.369
H: 0.556 0.556 0.389
O: 0.069 0.469 0.773
O: 0.097 0.097 0.761
O: 0.176 0.940 0.403
O: 0.285 0.285 0.482
O: 0.311 0.311 0.083
O: 0.463 0.854 0.233
O: 0.469 0.069 0.773
O: 0.612 0.612 0.926
O: 0.640 0.640 0.509
O: 0.753 0.991 0.598
O: 0.830 0.830 0.237
O: 0.854 0.463 0.233
O: 0.940 0.176 0.403
O: 0.991 0.753 0.598

---

(7)
An optimized crystal structure of PaZn2Cl8. Source: the Alexandria database, functional PBE.

Properties
SG = C2/m (12)
formation energy from raw total energies = -1.39 eV per atom
E_tot = -3.833 eV/atom

Cell lengths 8.059, 8.059, 6.400 Å; angles 93.84, 93.84, 61.40 degrees
Atoms (fractional coordinates):
Pa: 0.000 0.000 0.000
Zn: 0.187 0.187 0.645
Zn: 0.813 0.813 0.355
Cl: 0.123 0.697 0.233
Cl: 0.155 0.155 0.274
Cl: 0.303 0.877 0.767
Cl: 0.340 0.340 0.726
Cl: 0.660 0.660 0.274
Cl: 0.697 0.123 0.233
Cl: 0.845 0.845 0.726
Cl: 0.877 0.303 0.767

---

(8)
An optimized crystal structure of Na3Ag3Sn2. Source: the Alexandria database, functional PBE.

Properties
DFT formation energy = 0.0 eV/f.u.
SG = P-1 (2)
E_tot = -2.571 eV/atom

Cell lengths 4.037, 5.070, 9.818 Å; angles 102.92, 101.49, 90.17 degrees
Atoms (fractional coordinates):
Na: 0.000 0.000 0.000
Na: 0.125 0.688 0.247
Na: 0.875 0.312 0.753
Ag: 0.378 0.763 0.758
Ag: 0.500 0.500 0.000
Ag: 0.622 0.237 0.242
Sn: 0.232 0.256 0.468
Sn: 0.768 0.744 0.532

---

Look up the E_tot of the sixth one. -6.607 eV/atom